Entry 1:
# AlPbS2, optimized geometry, DFT GGA-PBE
data_AlPbS2
_space_group_name_H-M_alt 'C 1 c 1'
_space_group_IT_number 9
_cell_length_a 9.341
_cell_length_b 8.810
_cell_length_c 6.503
_cell_angle_alpha 90.00
_cell_angle_beta 131.97
_cell_angle_gamma 90.00
loop_
_space_group_symop_operation_xyz
'x,y,z'
'x,-y,z+1/2'
'x+1/2,y+1/2,z'
'x+1/2,-y+1/2,z+1/2'
loop_
_atom_site_label
_atom_site_type_symbol
_atom_site_fract_x
_atom_site_fract_y
_atom_site_fract_z
_atom_site_occupancy
Al1 Al 0.000 0.123 0.000 1
Pb1 Pb 0.450 0.035 0.082 1
S1 S 0.029 0.111 0.682 1
S2 S 0.235 0.264 0.381 1
# Calculated total energy = -4.645 eV per atom
# D(E_F) = 2.46 states/eV/cell
# Uncorrected formation energy = -0.719 eV per atom
# M_tot = 0.00 μB/f.u.



Entry 2:
# Pm3PrPu2Te6, optimized geometry, DFT GGA-PBE
data_Pm3PrPu2Te6
_space_group_name_H-M_alt 'C 1 2/m 1'
_space_group_IT_number 12
_cell_length_a 19.483
_cell_length_b 4.449
_cell_length_c 8.962
_cell_angle_alpha 90.00
_cell_angle_beta 103.48
_cell_angle_gamma 90.00
loop_
_space_group_symop_operation_xyz
'x,y,z'
'-x,-y,-z'
'-x,y,-z'
'x,-y,z'
'x+1/2,y+1/2,z'
'-x+1/2,-y+1/2,-z'
'-x+1/2,y+1/2,-z'
'x+1/2,-y+1/2,z'
loop_
_atom_site_label
_atom_site_type_symbol
_atom_site_fract_x
_atom_site_fract_y
_atom_site_fract_z
_atom_site_occupancy
Pm1 Pm 0.000 0.000 0.000 1
Pm2 Pm 0.164 0.500 0.334 1
Pr1 Pr 0.000 0.000 0.500 1
Pu1 Pu 0.167 0.500 0.833 1
Te1 Te 0.002 0.500 0.755 1
Te2 Te 0.168 0.000 0.082 1
Te3 Te 0.169 0.000 0.588 1
# Calculated total energy = -6.871 eV per atom
# D(E_F) = 48.44 states/eV/cell
# Uncorrected formation energy = -1.325 eV per atom
# M_tot = 11.91 μB/f.u.



Entry 3:
# InSi2AgF, optimized geometry, DFT GGA-PBE
data_InSi2AgF
_space_group_name_H-M_alt 'P 4/m m m'
_space_group_IT_number 123
_space_group_name_Hall '-P 4 2'
_cell_length_a 5.210
_cell_length_b 5.210
_cell_length_c 4.210
_cell_angle_alpha 90.00
_cell_angle_beta 90.00
_cell_angle_gamma 90.00
loop_
_atom_site_label
_atom_site_type_symbol
_atom_site_fract_x
_atom_site_fract_y
_atom_site_fract_z
_atom_site_occupancy
In1 In 0.000 0.000 0.000 1
Si1 Si 0.000 0.500 0.000 1
Ag1 Ag 0.500 0.500 0.500 1
F1 F 0.000 0.000 0.500 1
# Calculated total energy = -3.342 eV per atom
# D(E_F) = 2.72 states/eV/cell
# Uncorrected formation energy = 0.319 eV per atom
# M_tot = 0.00 μB/f.u.